# CaSmNi4O12

A relaxed structure of CaSmNi4O12 (PBE+U, Alexandria via LeMat-Bulk).

```
CaSmNi4O12
1.0
5.332 0.000 0.000
0.000 5.332 0.000
0.000 0.000 7.605
Ca Sm Ni O
1 1 4 12
Direct
0.000 0.000 0.000
0.500 0.500 0.500
0.000 0.500 0.248
0.000 0.500 0.752
0.500 0.000 0.248
0.500 0.000 0.752
0.000 0.500 0.000
0.000 0.500 0.500
0.257 0.257 0.260
0.257 0.257 0.740
0.257 0.743 0.260
0.257 0.743 0.740
0.500 0.000 0.000
0.500 0.000 0.500
0.743 0.257 0.260
0.743 0.257 0.740
0.743 0.743 0.260
0.743 0.743 0.740
```

E ... -89.82 eV/cell